No. 1
Entry from the Alexandria database: a relaxed Pm4GeSe2I crystal (PBE).

Calculated values
- Total magnetization: 0.0 μB per formula unit
- Space group: No. 10
- Raw formation energy: -1.3924 eV per atom

Cell: 4.265 7.341 7.630 Å, 71.06 90.00 90.00°
Element x y z (fractional)
1 Se 0.500 0.000 0.500
2 Se 0.000 0.000 0.000
3 Pm 0.500 0.751 0.275
4 Pm 0.000 0.771 0.713
5 Pm 0.500 0.249 0.725
6 Pm 0.000 0.229 0.287
7 I 0.500 0.500 0.000
8 Ge 0.000 0.500 0.500

No. 2
Entry from the Alexandria database: a relaxed Pm6Ge3Se2I crystal (PBE).

Calculated values
- Total magnetization: 0.0 μB per formula unit
- Space group: No. 12
- Raw formation energy: -1.2720 eV per atom

Cell: 4.291 8.656 9.631 Å, 103.30 102.87 90.00°
Element x y z (fractional)
1 Se 0.167 0.333 0.334
2 Se 0.833 0.667 0.666
3 Pm 0.335 0.410 0.671
4 Pm 0.677 0.080 0.354
5 Pm 0.665 0.590 0.329
6 Pm 0.323 0.920 0.646
7 Pm 0.999 0.276 0.997
8 Pm 0.001 0.724 0.003
9 I 0.500 0.000 0.000
10 Ge 0.164 0.833 0.327
11 Ge 0.500 0.500 0.000
12 Ge 0.836 0.167 0.673

No. 3
Entry from the Alexandria database: a relaxed Pm8Ge3SeI4 crystal (PBE).

Calculated values
- Total magnetization: 0.0 μB per formula unit
- Space group: No. 12
- Raw formation energy: -1.0915 eV per atom

Cell: 8.835 8.636 8.831 Å, 120.66 120.02 90.00°
Element x y z (fractional)
1 Ge 0.000 0.500 0.500
2 Ge 0.500 0.500 0.000
3 Ge 0.500 0.500 0.500
4 Se 0.000 0.500 0.000
5 Pm 0.762 0.296 0.035
6 Pm 0.265 0.294 0.530
7 Pm 0.238 0.704 0.965
8 Pm 0.238 0.704 0.477
9 Pm 0.273 0.296 0.035
10 Pm 0.762 0.296 0.523
11 Pm 0.727 0.704 0.965
12 Pm 0.735 0.706 0.470
13 I 0.500 0.000 0.500
14 I 0.000 0.000 0.500
15 I 0.500 0.000 0.000
16 I 0.000 0.000 0.000

No. 4
Entry from the Alexandria database: a relaxed Pm4SiGeI2 crystal (PBE).

Calculated values
- Total magnetization: 0.0 μB per formula unit
- Space group: No. 10
- Raw formation energy: -0.9855 eV per atom

Cell: 4.320 7.473 8.036 Å, 108.09 90.00 90.00°
Element x y z (fractional)
1 Si 0.000 0.000 0.000
2 Pm 0.500 0.770 0.803
3 Pm 0.000 0.265 0.802
4 Pm 0.500 0.230 0.197
5 Pm 0.000 0.735 0.198
6 I 0.500 0.000 0.500
7 I 0.000 0.500 0.500
8 Ge 0.500 0.500 0.000

No. 5
Entry from the Alexandria database: a relaxed Pm8Si3GeI4 crystal (PBE).

Calculated values
- Total magnetization: 0.0 μB per formula unit
- Space group: No. 166
- Raw formation energy: -0.9669 eV per atom

Cell: 8.620 9.125 8.620 Å, 118.20 120.00 90.00°
Element x y z (fractional)
1 Pm 0.234 0.697 0.467
2 Pm 0.270 0.303 0.036
3 Pm 0.766 0.303 0.533
4 Pm 0.732 0.697 0.465
5 Pm 0.766 0.303 0.036
6 Pm 0.268 0.303 0.535
7 Pm 0.234 0.697 0.964
8 Pm 0.730 0.697 0.964
9 I 0.000 0.000 0.500
10 I 0.500 0.000 0.500
11 I 0.500 0.000 0.000
12 I 0.000 0.000 0.000
13 Si 0.000 0.500 0.500
14 Si 0.500 0.500 0.500
15 Si 0.500 0.500 0.000
16 Ge 0.000 0.500 0.000

No. 6
Entry from the Alexandria database: a relaxed Pm6SiGe2I3 crystal (PBE).

Calculated values
- Total magnetization: 0.0 μB per formula unit
- Space group: No. 12
- Raw formation energy: -0.9982 eV per atom

Cell: 7.492 7.492 8.015 Å, 98.97 98.97 120.00°
Element x y z (fractional)
1 Pm 0.736 0.736 0.198
2 Pm 0.066 0.397 0.198
3 Pm 0.397 0.066 0.198
4 Pm 0.603 0.934 0.802
5 Pm 0.264 0.264 0.802
6 Pm 0.934 0.603 0.802
7 I 0.833 0.167 0.500
8 I 0.500 0.500 0.500
9 I 0.167 0.833 0.500
10 Ge 0.667 0.333 0.000
11 Ge 0.333 0.667 0.000
12 Si 0.000 0.000 0.000